Computed, not measured: a relaxed structure of PrDy2Mg at the PBE-GGA level of DFT.

abc: 3.6841 3.6841 9.0221
angles: 90.00 90.00 90.00
Element x y z (fractional)
1 Pr 0.0000 0.0000 0.0000
2 Dy 0.5000 0.5000 0.2782
3 Dy 0.5000 0.5000 0.7218
4 Mg 0.0000 0.0000 0.5000

Computed properties:
* DFT formation energy: -0.024 eV per atom
* ΔE to the lowest computed polymorph: 7 meV per atom
* E: -3.918 eV per atom
* crystal system: tetragonal


Computed, not measured: a relaxed structure of Cs2Na2Hg3 at the PBE-GGA level of DFT.

abc: 7.1958 7.1958 10.2161
angles: 123.94 123.94 44.01
Element x y z (fractional)
1 Cs 0.1864 0.1864 0.1035
2 Cs 0.8136 0.8136 0.8965
3 Na 0.1300 0.1300 0.4743
4 Na 0.8700 0.8700 0.5257
5 Hg 0.4492 0.4492 0.7553
6 Hg 0.5000 0.5000 0.5000
7 Hg 0.5508 0.5508 0.2447

Computed properties:
* DFT formation energy: -0.187 eV per atom
* E: -0.937 eV per atom
* crystal system: monoclinic


Computed, not measured: a relaxed structure of Zr4BN at the PBE-GGA level of DFT.

abc: 6.7033 6.7033 6.7033
angles: 120.50 119.52 89.98
Element x y z (fractional)
1 Zr 0.2578 0.2537 0.4958
2 Zr 0.2578 0.7620 0.0042
3 Zr 0.2635 0.2463 0.0171
4 Zr 0.2708 0.7537 0.5171
5 Zr 0.7292 0.2463 0.4829
6 Zr 0.7365 0.7537 0.9829
7 Zr 0.7422 0.2380 0.9958
8 Zr 0.7422 0.7463 0.5042
9 B 0.0000 0.0000 0.0000
10 B 0.5000 0.0000 0.5000
11 N 0.5000 0.0000 0.0000
12 N 0.5000 0.5000 0.5000

Computed properties:
* ΔE to the lowest computed polymorph: 0 meV per atom
* E: -8.996 eV per atom
* crystal system: orthorhombic


Computed, not measured: a relaxed structure of CrPSe2Br at the PBE-GGA level of DFT.

abc: 4.9232 4.9232 4.9477
angles: 90.00 90.00 90.00
Element x y z (fractional)
1 Cr 0.0000 0.0000 0.0000
2 P 0.5000 0.5000 0.5000
3 Se 0.0000 0.5000 0.5000
4 Se 0.5000 0.0000 0.5000
5 Br 0.5000 0.5000 0.0000

Computed properties:
* ΔE to the lowest computed polymorph: 0 meV per atom
* E: -4.202 eV per atom
* crystal system: tetragonal


Computed, not measured: a relaxed structure of ThZnPt2 at the PBE-GGA level of DFT.

abc: 7.3180 7.2141 5.9102
angles: 90.00 90.00 90.00
Element x y z (fractional)
1 Th 0.0288 0.2500 0.1528
2 Th 0.4712 0.7500 0.6528
3 Th 0.5288 0.2500 0.3472
4 Th 0.9712 0.7500 0.8472
5 Zn 0.1125 0.7500 0.3477
6 Zn 0.3875 0.2500 0.8477
7 Zn 0.6125 0.7500 0.1523
8 Zn 0.8875 0.2500 0.6523
9 Pt 0.1935 0.0507 0.5725
10 Pt 0.1935 0.4493 0.5725
11 Pt 0.3065 0.5507 0.0725
12 Pt 0.3065 0.9493 0.0725
13 Pt 0.6935 0.0507 0.9275
14 Pt 0.6935 0.4493 0.9275
15 Pt 0.8065 0.5507 0.4275
16 Pt 0.8065 0.9493 0.4275

Computed properties:
* DFT formation energy: -0.976 eV per atom
* E: -6.170 eV per atom
* crystal system: orthorhombic


Computed, not measured: a relaxed structure of Pm6Hg5Au at the PBE-GGA level of DFT.

abc: 6.7952 6.7952 9.0688
angles: 96.63 96.63 118.16
Element x y z (fractional)
1 Pm 0.0802 0.4091 0.7416
2 Pm 0.2408 0.2408 0.2151
3 Pm 0.4091 0.0802 0.7416
4 Pm 0.5909 0.9198 0.2584
5 Pm 0.7592 0.7592 0.7849
6 Pm 0.9198 0.5909 0.2584
7 Hg 0.0000 0.0000 0.5000
8 Hg 0.1940 0.8060 0.0000
9 Hg 0.3615 0.6385 0.5000
10 Hg 0.6385 0.3615 0.5000
11 Hg 0.8060 0.1940 0.0000
12 Au 0.5000 0.5000 0.0000

Computed properties:
* DFT formation energy: -0.363 eV per atom
* ΔE to the lowest computed polymorph: 159 meV per atom
* E: -3.137 eV per atom
* crystal system: monoclinic


Computed, not measured: a relaxed structure of Cs2PuCuF6 at the PBE-GGA level of DFT.

abc: 6.5451 6.5451 5.9111
angles: 90.00 90.00 120.00
Element x y z (fractional)
1 Cs 0.3333 0.6667 0.3511
2 Cs 0.6667 0.3333 0.6489
3 Pu 0.0000 0.0000 0.0000
4 Cu 0.0000 0.0000 0.5000
5 F 0.1537 0.3074 0.7455
6 F 0.1537 0.8463 0.7455
7 F 0.3074 0.1537 0.2545
8 F 0.6926 0.8463 0.7455
9 F 0.8463 0.1537 0.2545
10 F 0.8463 0.6926 0.2545

Computed properties:
* E: -5.800 eV per atom
* crystal system: trigonal


Computed, not measured: a relaxed structure of RbTl2InHg at the PBE-GGA level of DFT.

abc: 7.5339 7.5339 7.5339
angles: 140.42 139.85 57.65
Element x y z (fractional)
1 Rb 0.0000 0.0000 0.0000
2 Tl 0.6171 0.6171 0.0000
3 Tl 0.7587 0.2587 0.5000
4 In 0.2567 0.7567 0.5000
5 Hg 0.3879 0.3879 0.0000

Computed properties:
* DFT formation energy: -0.101 eV per atom
* ΔE to the lowest computed polymorph: 0 meV per atom
* E: -1.849 eV per atom
* crystal system: orthorhombic


Computed, not measured: a relaxed structure of K3Pr3ZrS8 at the PBE-GGA level of DFT.

abc: 8.8925 8.8925 8.8925
angles: 55.18 55.18 55.18
Element x y z (fractional)
1 K 0.0000 0.5000 0.5000
2 K 0.5000 0.0000 0.5000
3 K 0.5000 0.5000 0.0000
4 Pr 0.0000 0.0000 0.5000
5 Pr 0.0000 0.5000 0.0000
6 Pr 0.5000 0.0000 0.0000
7 Zr 0.5000 0.5000 0.5000
8 S 0.2365 0.2365 0.2365
9 S 0.2587 0.7181 0.7181
10 S 0.2819 0.2819 0.7413
11 S 0.2819 0.7413 0.2819
12 S 0.7181 0.2587 0.7181
13 S 0.7181 0.7181 0.2587
14 S 0.7413 0.2819 0.2819
15 S 0.7635 0.7635 0.7635

Computed properties:
* E: -5.725 eV per atom
* crystal system: trigonal


Computed, not measured: a relaxed structure of Tb2Nd2Sc at the PBE-GGA level of DFT.

abc: 16.3402 16.3402 16.3402
angles: 167.60 160.01 23.59
Element x y z (fractional)
1 Tb 0.2696 0.0196 0.2500
2 Tb 0.3654 0.1154 0.2500
3 Tb 0.6346 0.8846 0.7500
4 Tb 0.7304 0.9804 0.7500
5 Nd 0.0635 0.8135 0.2500
6 Nd 0.4560 0.7060 0.7500
7 Nd 0.5440 0.2940 0.2500
8 Nd 0.9365 0.1865 0.7500
9 Sc 0.1762 0.4262 0.7500
10 Sc 0.8238 0.5738 0.2500

Computed properties:
* DFT formation energy: 0.191 eV per atom
* ΔE to the lowest computed polymorph: 61 meV per atom
* E: -4.835 eV per atom
* crystal system: orthorhombic


Computed, not measured: a relaxed structure of DyBiCl at the PBE-GGA level of DFT.

abc: 11.2223 11.2223 10.3314
angles: 111.28 111.28 22.86
Element x y z (fractional)
1 Dy 0.1198 0.1198 0.3777
2 Dy 0.2062 0.2062 0.8384
3 Dy 0.7938 0.7938 0.1616
4 Dy 0.8802 0.8802 0.6223
5 Bi 0.1804 0.1804 0.1073
6 Bi 0.2711 0.2711 0.6163
7 Bi 0.7289 0.7289 0.3837
8 Bi 0.8196 0.8196 0.8927
9 Cl 0.0948 0.0948 0.6120
10 Cl 0.4531 0.4531 0.7175
11 Cl 0.5469 0.5469 0.2825
12 Cl 0.9052 0.9052 0.3880

Computed properties:
* ΔE to the lowest computed polymorph: 0 meV per atom
* E: -4.586 eV per atom
* crystal system: monoclinic


Computed, not measured: a relaxed structure of LaCdOs2 at the PBE-GGA level of DFT.

abc: 5.1575 5.1575 5.1575
angles: 129.81 129.81 73.70
Element x y z (fractional)
1 La 0.0000 0.0000 0.0000
2 Cd 0.7500 0.2500 0.5000
3 Os 0.2500 0.7500 0.5000
4 Os 0.5000 0.5000 0.0000

Computed properties:
* DFT formation energy: 0.691 eV per atom
* E: -6.384 eV per atom
* crystal system: tetragonal